## ZrTcMoF (GGA+U)

Data for a relaxed ZrTcMoF crystal.

abc: 3.1552 3.0993 14.5621
angles: 90.00 90.00 90.00
Site moments in Bohr magnetons follow the coordinates.
Atoms (fractional coordinates):
Mo  0.0000  0.0000  0.3439  2.22
Mo  0.0000  0.5000  0.8439  2.22
Tc  0.5000  0.0000  0.9495  -0.63
Tc  0.5000  0.5000  0.4495  -0.63
Zr  0.0000  0.0000  0.5734  -0.12
Zr  0.0000  0.5000  0.0734  -0.12
F  0.0000  0.0000  0.1908  0.02
F  0.0000  0.5000  0.6908  0.02

Results
The total energy is -60.081 eV for the cell shown. For the size of the total moment, the calculation gives 1.60 μB/f.u.